Entry 1:
Computed, not measured: a geometry-optimized YCoHg2 structure at the PBE level of DFT.

a b c (Å): 5.5740 5.5740 5.5740
angles (deg): 47.39 47.39 47.39
Closest atoms and distances in Å follow each position.
Positions (direct):
1 Co 0.7500 0.7500 0.7500  6 Hg 2.71
2 Hg 0.0279 0.0279 0.0279  3 Co 2.71
3 Hg 0.4721 0.4721 0.4721  3 Co 2.71
4 Y 0.2500 0.2500 0.2500  8 Hg 3.07-3.29

Summary:
V, Å³/cell: 85.8
Raw total energy, eV per atom: -3.51
DFT formation energy, eV/atom: 0.0291

---

Entry 2:
Computed, not measured: a geometry-optimized YCoHg2 structure at the PBE level of DFT.

a b c (Å): 5.3852 5.3852 4.6596
angles (deg): 64.54 64.54 43.51
Closest atoms and distances in Å follow each position.
Positions (direct):
1 Co 0.7500 0.7500 0.7500  4 Hg 2.86, 4 Y 3.07
2 Hg 0.0197 0.0197 0.9798  2 Co 2.86, 4 Hg 3.08-3.09, 4 Y 3.09-3.11
3 Hg 0.4803 0.4803 0.5202  2 Co 2.86, 4 Hg 3.08-3.09, 4 Y 3.09-3.11
4 Y 0.2500 0.2500 0.2500  4 Co 3.07, 8 Hg 3.09-3.11

Summary:
V, Å³/cell: 82.5
Raw total energy, eV per atom: -3.59
DFT formation energy, eV/atom: -0.0470

---

Entry 3:
Computed, not measured: a geometry-optimized YCo2Hg structure at the PBE level of DFT.

a b c (Å): 4.2033 3.4848 5.3927
angles (deg): 89.90 90.00 90.00
Closest atoms and distances in Å follow each position.
Positions (direct):
1 Co 0.0000 0.2491 0.9562  1 Co 2.22
2 Co 0.0000 0.2509 0.5438  1 Co 2.22
3 Hg 0.5000 0.2500 0.2500  4 Co 2.63
4 Y 0.5000 0.7500 0.7500  8 Co 2.95, 4 Hg 3.21

Summary:
V, Å³/cell: 79.0
Raw total energy, eV per atom: -5.08
DFT formation energy, eV/atom: 0.1680

---

Entry 4:
Computed, not measured: a geometry-optimized Y2CoHg structure at the PBE level of DFT.

a b c (Å): 3.4503 3.4503 7.9033
angles (deg): 90.00 90.00 90.00
Closest atoms and distances in Å follow each position.
Positions (direct):
1 Co 0.0000 0.0000 0.5162  4 Hg 2.86, 4 Y 2.89
2 Hg 0.5000 0.5000 0.7050  4 Co 2.86, 5 Y 3.04-3.15
3 Y 0.0000 0.0000 0.9581  4 Hg 3.15, 4 Y 3.45, 1 Co 3.49
4 Y 0.5000 0.5000 0.3207  4 Co 2.89, 1 Hg 3.04

Summary:
V, Å³/cell: 94.1
Raw total energy, eV per atom: -5.10
DFT formation energy, eV/atom: -0.0144

---

Entry 5:
Computed, not measured: a geometry-optimized YCo2Hg structure at the PBE level of DFT.

a b c (Å): 4.2787 4.2787 3.6543
angles (deg): 90.00 90.00 90.00
Closest atoms and distances in Å follow each position.
Positions (direct):
1 Co 0.0000 0.0000 0.0000  4 Y 2.81, 4 Hg 2.81, 4 Co 3.03
2 Co 0.5000 0.5000 0.0000  4 Hg 2.81, 4 Y 2.81, 4 Co 3.03
3 Hg 0.5000 0.0000 0.5000  8 Co 2.81, 4 Y 3.03
4 Y 0.0000 0.5000 0.5000  8 Co 2.81, 4 Hg 3.03

Summary:
V, Å³/cell: 66.9
Raw total energy, eV per atom: -5.13
DFT formation energy, eV/atom: 0.1113

---

Entry 6:
Computed, not measured: a geometry-optimized YCo2Hg structure at the PBE level of DFT.

a b c (Å): 8.4095 8.4095 8.4095
angles (deg): 22.20 22.20 22.20
Closest atoms and distances in Å follow each position.
Positions (direct):
1 Co 0.9982 0.9982 0.9982  3 Hg 2.74, 3 Y 2.81
2 Co 0.5018 0.5018 0.5018  3 Hg 2.74, 3 Y 2.81
3 Hg 0.2500 0.2500 0.2500  6 Co 2.74
4 Y 0.7500 0.7500 0.7500  6 Co 2.81

Summary:
V, Å³/cell: 74.4
Raw total energy, eV per atom: -4.74
DFT formation energy, eV/atom: 0.5014

---

Entry 7:
Computed, not measured: a geometry-optimized Y2CoHg structure at the PBE level of DFT.

a b c (Å): 6.3164 6.3164 6.3164
angles (deg): 148.65 135.27 55.64
Closest atoms and distances in Å follow each position.
Positions (direct):
1 Co 0.4980 0.4980 0.0000  2 Hg 2.79, 6 Y 2.85-2.95
2 Hg 0.3004 0.8004 0.5000  2 Co 2.79
3 Y 0.9990 0.9990 0.0000  4 Co 2.95, 2 Hg 3.27
4 Y 0.7025 0.2025 0.5000  2 Co 2.85, 4 Hg 3.14

Summary:
V, Å³/cell: 91.6
Raw total energy, eV per atom: -5.22
DFT formation energy, eV/atom: -0.1332

---

Entry 8:
Computed, not measured: a geometry-optimized Y2CoHg structure at the PBE level of DFT.

a b c (Å): 7.9824 5.0377 3.5813
angles (deg): 90.00 63.35 129.26
Closest atoms and distances in Å follow each position.
Positions (direct):
1 Co 0.0000 0.5000 0.5000  8 Y 3.09
2 Hg 0.5000 0.5000 0.0000  8 Y 3.09
3 Y 0.0000 0.0000 0.0000  4 Hg 3.09, 4 Co 3.09
4 Y 0.5000 0.0000 0.5000  4 Co 3.09, 4 Hg 3.09

Summary:
V, Å³/cell: 90.9
Raw total energy, eV per atom: -5.30
DFT formation energy, eV/atom: -0.2192

---

Entry 9:
Computed, not measured: a geometry-optimized YCoHg2 structure at the PBE level of DFT.

a b c (Å): 8.1050 8.1050 8.1050
angles (deg): 26.37 26.37 26.37
Closest atoms and distances in Å follow each position.
Positions (direct):
1 Co 0.7471 0.7471 0.7471  3 Hg 2.63, 3 Y 2.70
2 Hg 0.0149 0.0149 0.0149  3 Co 2.63
3 Hg 0.2535 0.2535 0.2535  3 Hg 3.08, 3 Y 3.21
4 Y 0.4845 0.4845 0.4845  3 Co 2.70

Summary:
V, Å³/cell: 92.6
Raw total energy, eV per atom: -3.45
DFT formation energy, eV/atom: 0.0941

---

Entry 10:
Computed, not measured: a geometry-optimized Y2CoHg structure at the PBE level of DFT.

a b c (Å): 3.8361 3.8361 8.0873
angles (deg): 76.22 76.22 60.00
Closest atoms and distances in Å follow each position.
Positions (direct):
1 Co 0.2500 0.2500 0.2500  6 Y 2.69
2 Hg 0.7500 0.7500 0.7500  6 Y 3.24
3 Y 0.9821 0.9821 0.0535  3 Co 2.69
4 Y 0.5179 0.5179 0.4465  3 Co 2.69

Summary:
V, Å³/cell: 99.1
Raw total energy, eV per atom: -5.31
DFT formation energy, eV/atom: -0.2270

---

Entry 11:
Computed, not measured: a geometry-optimized Y2CoHg structure at the PBE level of DFT.

a b c (Å): 7.6539 7.6539 6.3662
angles (deg): 53.05 53.05 90.00
Closest atoms and distances in Å follow each position.
Positions (direct):
1 Y 0.5719 0.1250 0.2500  2 Co 2.58
2 Y 0.1781 0.6250 0.2500  2 Co 2.58
3 Y 0.3750 0.4281 0.7500  2 Co 2.58
4 Y 0.8750 0.8219 0.7500  2 Co 2.58
5 Co 0.5000 0.5000 0.0000  4 Y 2.58
6 Co 0.2500 0.7500 0.5000  4 Y 2.58
7 Hg 0.0000 0.0000 0.0000  4 Y 3.12, 2 Co 3.35
8 Hg 0.7500 0.2500 0.5000  4 Y 3.12, 2 Co 3.35

Summary:
V, Å³/cell: 196.4
Raw total energy, eV per atom: -5.02
DFT formation energy, eV/atom: 0.0670

---

Entry 12:
Computed, not measured: a geometry-optimized YCo2Hg structure at the PBE level of DFT.

a b c (Å): 3.1901 3.1901 6.9790
angles (deg): 90.00 90.00 90.02
Closest atoms and distances in Å follow each position.
Positions (direct):
1 Co 0.0000 0.0000 0.0605  4 Co 2.45, 1 Hg 2.75
2 Co 0.5000 0.5000 0.1988  4 Co 2.45
3 Hg 0.0000 0.0000 0.4539  5 Co 2.75-2.87
4 Y 0.5000 0.5000 0.7868  5 Co 2.88-2.96, 4 Y 3.19

Summary:
V, Å³/cell: 71.0
Raw total energy, eV per atom: -5.19
DFT formation energy, eV/atom: 0.0563

---

no.,DOS at the Fermi energy (states/eV/f.u.)
1,4.00
2,2.75
3,2.94
4,4.22
5,5.80
6,5.50
7,3.89
8,3.25
9,2.62
10,1.74
11,4.59
12,4.38